# PBE Pu3Rh2Pb, relaxed
data_Pu3Rh2Pb
_chemical_formula_sum 'Pu12 Rh8 Pb4'
_space_group_name_H-M_alt 'I m m a'
_space_group_IT_number 74
_space_group_name_Hall '-I 2b 2'
_cell_length_a 7.589
_cell_length_b 12.635
_cell_length_c 5.898
_cell_angle_alpha 90.00
_cell_angle_beta 90.00
_cell_angle_gamma 90.00
loop_
_atom_site_label
_atom_site_type_symbol
_atom_site_fract_x
_atom_site_fract_y
_atom_site_fract_z
Pu1 Pu 0.184 0.000 0.000
Pu2 Pu 0.250 0.250 0.250
Rh1 Rh 0.000 0.107 0.422
Pb1 Pb 0.000 0.250 0.785
# Total moment in μB/f.u.: 16.0
# Relative energy among the computed polymorphs in kcal/mol of atoms: 3.901
# Raw total energy in Ry per atom: -0.7657